## CrNi2O (PBE+U)

Data for crystalline CrNi2O at its relaxed geometry.

abc: 3.9062 3.9062 3.9062
angles: 60.00 60.00 60.00
Last column: magnetic moment on the atom in μB.
Fractional coordinates of all 4 atoms:
Ni 0.2500 0.2500 0.2500  -0.39
Ni 0.7500 0.7500 0.7500  -0.39
O 0.0000 0.0000 0.0000  -0.17
Cr 0.5000 0.5000 0.5000  0.30

Values from the calculation:
**Final energy**: -10.41 eV for the cell shown
**Total magnetic moment**: 0.137 μB/atom